# 1
The following is a PBEsol calculation of a relaxed Al23B50 crystal, from the Alexandria database.

Results
- M_tot: 0.0 μB/cell
- E_form: -0.090 eV/atom
- Density of states at the Fermi level: 0.112 states/eV/atom

Lattice parameters (Å, degrees): 6.064 10.182 10.296 95.82 95.61 96.25
Sites, in units of the cell vectors:
Al1 0.156 0.473 0.395
Al2 0.844 0.527 0.605
Al3 0.121 0.362 0.801
Al4 0.643 0.917 0.605
Al5 0.693 0.047 0.199
Al6 0.390 0.201 0.007
Al7 0.000 0.000 0.000
Al8 0.357 0.083 0.395
Al9 0.532 0.566 0.800
Al10 0.769 0.279 0.393
Al11 0.442 0.320 0.598
Al12 0.804 0.397 0.005
Al13 0.879 0.638 0.199
Al14 0.960 0.881 0.401
Al15 0.468 0.434 0.200
Al16 0.282 0.842 0.199
Al17 0.307 0.953 0.801
Al18 0.040 0.119 0.599
Al19 0.196 0.603 0.995
Al20 0.610 0.799 0.993
Al21 0.718 0.158 0.801
Al22 0.558 0.680 0.402
Al23 0.231 0.721 0.607
B1 0.580 0.573 0.034
B2 0.060 0.013 0.233
B3 0.702 0.266 0.167
B4 0.060 0.346 0.568
B5 0.940 0.987 0.767
B6 0.860 0.747 0.566
B7 0.500 0.333 0.834
B8 0.542 0.786 0.767
B9 0.821 0.626 0.967
B10 0.902 0.865 0.169
B11 0.098 0.135 0.831
B12 0.660 0.813 0.234
B13 0.740 0.385 0.768
B14 0.458 0.547 0.566
B15 0.179 0.374 0.033
B16 0.900 0.533 0.833
B17 0.340 0.187 0.766
B18 0.020 0.894 0.633
B19 0.617 0.028 0.965
B20 0.300 0.066 0.167
B21 0.980 0.106 0.367
B22 0.700 0.934 0.833
B23 0.221 0.492 0.634
B24 0.220 0.827 0.967
B25 0.458 0.214 0.233
B26 0.740 0.052 0.434
B27 0.660 0.146 0.567
B28 0.619 0.693 0.633
B29 0.580 0.906 0.367
B30 0.980 0.773 0.034
B31 0.100 0.467 0.167
B32 0.383 0.972 0.035
B33 0.779 0.508 0.366
B34 0.340 0.854 0.433
B35 0.860 0.414 0.233
B36 0.381 0.307 0.367
B37 0.940 0.654 0.432
B38 0.260 0.948 0.566
B39 0.180 0.707 0.366
B40 0.140 0.586 0.767
B41 0.542 0.453 0.434
B42 0.500 0.667 0.166
B43 0.298 0.734 0.833
B44 0.420 0.094 0.633
B45 0.420 0.427 0.966
B46 0.140 0.253 0.434
B47 0.820 0.293 0.634
B48 0.020 0.227 0.966
B49 0.260 0.615 0.232
B50 0.780 0.173 0.033

***

# 2
The following is a PBEsol calculation of a relaxed ZnHgTe2 crystal, from the Alexandria database.

Results
- M_tot: 0.0 μB/cell
- DFT total energy: -2.198 eV/atom
- Density of states at the Fermi level: 0.340 states/eV/atom

Lattice parameters (Å, degrees): 3.257 3.257 10.070 90.00 90.00 108.71
Sites, in units of the cell vectors:
Hg1 0.500 0.500 0.000
Te1 0.000 0.000 0.705
Te2 0.000 0.000 0.295
Zn1 0.500 0.500 0.500

***

# 3
The following is a PBEsol calculation of a relaxed CuIr3 crystal, from the Alexandria database.

Results
- M_tot: 0.0 μB/cell
- E_form: 0.115 eV/atom
- Density of states at the Fermi level: 1.334 states/eV/atom

Lattice parameters (Å, degrees): 2.698 2.698 8.628 90.00 90.00 120.00
Sites, in units of the cell vectors:
Ir1 0.000 0.000 0.500
Ir2 0.667 0.333 0.245
Ir3 0.667 0.333 0.755
Cu1 0.000 0.000 0.000

***

# 4
The following is a PBEsol calculation of a relaxed CoWAu2 crystal, from the Alexandria database.

Results
- M_tot: 0.8 μB/cell
- Excess energy over the best structure of this formula in the dataset: 0 meV/atom
- E_form: 0.379 eV/atom
- Density of states at the Fermi level: 0.831 states/eV/atom

Lattice parameters (Å, degrees): 3.920 3.920 4.724 114.52 114.52 90.00
Sites, in units of the cell vectors:
Au1 0.750 0.250 0.500
Au2 0.000 0.000 0.000
Co1 0.500 0.500 0.000
W1 0.250 0.750 0.500

***

Question: Which of these has the highest M_tot?
Answer: CoWAu2